1.
DFT (PBE) results for an optimized crystal structure of DyThGa5Pt2.

Cell lengths 4.6928, 4.6928, 9.4659 Å; angles 90.00, 90.00, 90.00 degrees
Closest atoms and distances in Å follow each position.
Element x y z (fractional)
Dy 0.0000 0.0000 0.0000  8 Ga 2.99
Th 0.0000 0.0000 0.5000  12 Ga 3.32-3.71
Ga 0.0000 0.5000 0.1962  2 Pt 2.41
Ga 0.0000 0.5000 0.8038  2 Pt 2.41
Ga 0.5000 0.0000 0.1962  2 Pt 2.41
Ga 0.5000 0.0000 0.8038  2 Pt 2.41
Ga 0.5000 0.5000 0.5000  2 Pt 2.31
Pt 0.5000 0.5000 0.2555  5 Ga 2.31-2.41
Pt 0.5000 0.5000 0.7445  5 Ga 2.31-2.41

SG = No. 123
crystal system = tetragonal
calculated volume = 208.46 Å³ per cell

2.
DFT (PBE) results for an optimized crystal structure of Dy2TiGa4Pt3.

Cell lengths 4.0402, 4.0402, 11.5254 Å; angles 90.00, 90.00, 90.00 degrees
Closest atoms and distances in Å follow each position.
Element x y z (fractional)
Dy 0.0000 0.5000 0.2482  4 Ga 3.09, 4 Pt 3.14
Dy 0.5000 0.0000 0.7518  4 Ga 3.09, 4 Pt 3.14
Ti 0.5000 0.5000 0.0000  4 Ga 2.62, 4 Pt 2.86
Ga 0.0000 0.0000 0.5000  4 Pt 2.58, 4 Ga 2.86
Ga 0.0000 0.5000 0.8550  3 Pt 2.49-2.62, 2 Ti 2.62
Ga 0.5000 0.0000 0.1450  3 Pt 2.49-2.62, 2 Ti 2.62
Ga 0.5000 0.5000 0.5000  4 Pt 2.58, 4 Ga 2.86
Pt 0.0000 0.0000 0.0000  4 Ga 2.62, 4 Ti 2.86
Pt 0.0000 0.5000 0.6392  5 Ga 2.49-2.58
Pt 0.5000 0.0000 0.3608  5 Ga 2.49-2.58

SG = No. 115
crystal system = tetragonal
calculated volume = 188.13 Å³ per cell

3.
DFT (PBE) results for an optimized crystal structure of DyTmGaPt.

Cell lengths 4.9709, 4.9709, 4.9709 Å; angles 60.00, 60.00, 60.00 degrees
Closest atoms and distances in Å follow each position.
Element x y z (fractional)
Dy 0.0000 0.0000 0.0000  4 Pt 3.04, 4 Ga 3.04
Tm 0.5000 0.5000 0.5000  4 Pt 3.04, 4 Ga 3.04
Ga 0.2500 0.2500 0.2500  4 Dy 3.04, 4 Tm 3.04
Pt 0.7500 0.7500 0.7500  4 Dy 3.04, 4 Tm 3.04

SG = No. 216
crystal system = cubic
relative energy among the computed polymorphs = 0.26 eV/f.u.
calculated volume = 86.86 Å³ per cell

4.
DFT (PBE) results for an optimized crystal structure of DyTmGaPt.

Cell lengths 4.4361, 5.7268, 5.7268 Å; angles 38.10, 90.00, 90.00 degrees
Closest atoms and distances in Å follow each position.
Element x y z (fractional)
Dy 0.0000 0.0000 0.0000  4 Pt 2.99, 3 Ga 3.02-3.04
Tm 0.5000 0.7158 0.7158  4 Ga 2.98, 3 Pt 3.01-3.05
Ga 0.0000 0.2786 0.2786  2 Pt 2.78, 4 Tm 2.98, 3 Dy 3.02-3.04
Pt 0.5000 0.4340 0.4340  2 Ga 2.78, 4 Dy 2.99, 3 Tm 3.01-3.05

SG = No. 38
crystal system = orthorhombic
relative energy among the computed polymorphs = 0.00 eV/f.u.
calculated volume = 89.77 Å³ per cell

5.
DFT (PBE) results for an optimized crystal structure of Dy2TmGa3Pt4.

Cell lengths 4.1379, 4.1379, 11.5710 Å; angles 90.00, 90.00, 90.00 degrees
Closest atoms and distances in Å follow each position.
Element x y z (fractional)
Dy 0.0000 0.5000 0.2286  4 Ga 3.15, 8 Pt 3.21-3.36
Dy 0.5000 0.0000 0.7714  4 Ga 3.15, 8 Pt 3.21-3.36
Tm 0.0000 0.0000 0.5000  4 Pt 2.76, 4 Ga 2.93
Ga 0.0000 0.5000 0.8715  5 Pt 2.47-2.55
Ga 0.5000 0.0000 0.1285  5 Pt 2.47-2.55
Ga 0.5000 0.5000 0.5000  4 Pt 2.76, 4 Tm 2.93
Pt 0.0000 0.0000 0.0000  4 Ga 2.55
Pt 0.0000 0.5000 0.6579  3 Ga 2.47-2.76, 2 Tm 2.76
Pt 0.5000 0.0000 0.3421  3 Ga 2.47-2.76, 2 Tm 2.76
Pt 0.5000 0.5000 0.0000  4 Ga 2.55

SG = No. 115
crystal system = tetragonal
calculated volume = 198.12 Å³ per cell

6.
DFT (PBE) results for an optimized crystal structure of DyY2Ga3Pt4.

Cell lengths 4.1684, 4.1684, 11.5593 Å; angles 90.00, 90.00, 90.00 degrees
Closest atoms and distances in Å follow each position.
Element x y z (fractional)
Dy 0.0000 0.0000 0.0000  4 Pt 2.78, 4 Ga 2.95
Y 0.0000 0.5000 0.7260  4 Ga 3.16, 8 Pt 3.23-3.34
Y 0.5000 0.0000 0.2740  4 Ga 3.16, 8 Pt 3.23-3.34
Ga 0.0000 0.5000 0.3730  5 Pt 2.47-2.55
Ga 0.5000 0.0000 0.6270  5 Pt 2.47-2.55
Ga 0.5000 0.5000 0.0000  4 Pt 2.78, 4 Dy 2.95
Pt 0.0000 0.0000 0.5000  4 Ga 2.55
Pt 0.0000 0.5000 0.1595  1 Ga 2.47
Pt 0.5000 0.0000 0.8405  1 Ga 2.47
Pt 0.5000 0.5000 0.5000  4 Ga 2.55

SG = No. 115
crystal system = tetragonal
calculated volume = 200.85 Å³ per cell

7.
DFT (PBE) results for an optimized crystal structure of Dy2ZnGa4Pt3.

Cell lengths 4.1494, 4.1494, 10.8657 Å; angles 90.00, 90.00, 90.00 degrees
Closest atoms and distances in Å follow each position.
Element x y z (fractional)
Dy 0.0000 0.5000 0.2461  6 Pt 3.16-3.45, 8 Ga 3.20-3.38, 2 Zn 3.45
Dy 0.5000 0.0000 0.7539  6 Pt 3.16-3.45, 8 Ga 3.20-3.38, 2 Zn 3.45
Zn 0.0000 0.0000 0.5000  4 Ga 2.54
Ga 0.0000 0.0000 0.0000  4 Pt 2.56
Ga 0.0000 0.5000 0.6354  3 Pt 2.46-2.54, 2 Zn 2.54
Ga 0.5000 0.0000 0.3646  3 Pt 2.46-2.54, 2 Zn 2.54
Ga 0.5000 0.5000 0.0000  4 Pt 2.56
Pt 0.0000 0.5000 0.8619  5 Ga 2.46-2.56
Pt 0.5000 0.0000 0.1381  5 Ga 2.46-2.56
Pt 0.5000 0.5000 0.5000  4 Ga 2.54

SG = No. 115
crystal system = tetragonal
calculated volume = 187.08 Å³ per cell

8.
DFT (PBE) results for an optimized crystal structure of Dy2ZnGa3Pt4.

Cell lengths 4.0534, 4.0534, 11.3111 Å; angles 90.00, 90.00, 90.00 degrees
Closest atoms and distances in Å follow each position.
Element x y z (fractional)
Dy 0.0000 0.5000 0.2475  4 Pt 3.08, 4 Ga 3.16
Dy 0.5000 0.0000 0.7525  4 Pt 3.08, 4 Ga 3.16
Zn 0.5000 0.5000 0.0000  4 Pt 2.62, 4 Ga 2.87
Ga 0.0000 0.0000 0.0000  4 Pt 2.62, 4 Zn 2.87
Ga 0.0000 0.5000 0.6339  5 Pt 2.47-2.53
Ga 0.5000 0.0000 0.3661  5 Pt 2.47-2.53
Pt 0.0000 0.0000 0.5000  4 Ga 2.53
Pt 0.0000 0.5000 0.8526  3 Ga 2.47-2.62, 2 Zn 2.62
Pt 0.5000 0.0000 0.1474  3 Ga 2.47-2.62, 2 Zn 2.62
Pt 0.5000 0.5000 0.5000  4 Ga 2.53

SG = No. 115
crystal system = tetragonal
calculated volume = 185.84 Å³ per cell

9.
DFT (PBE) results for an optimized crystal structure of Dy2ZnGa2Pt5.

Cell lengths 9.7162, 9.7162, 3.7550 Å; angles 90.00, 90.00, 90.00 degrees
Closest atoms and distances in Å follow each position.
Element x y z (fractional)
Dy 0.1751 0.3249 0.0000  3 Ga 2.75-2.95, 2 Pt 3.05
Dy 0.3249 0.8249 0.0000  3 Ga 2.75-2.95, 2 Pt 3.05
Dy 0.6751 0.1751 0.0000  3 Ga 2.75-2.95, 2 Pt 3.05
Dy 0.8249 0.6751 0.0000  3 Ga 2.75-2.95, 2 Pt 3.05
Zn 0.0000 0.0000 0.0000  8 Pt 2.79
Zn 0.5000 0.5000 0.0000  8 Pt 2.79
Ga 0.1247 0.6247 0.0000  6 Pt 2.54-2.58, 1 Dy 2.75
Ga 0.3753 0.1247 0.0000  6 Pt 2.54-2.58, 1 Dy 2.75
Ga 0.6247 0.8753 0.0000  6 Pt 2.54-2.58, 1 Dy 2.75
Ga 0.8753 0.3753 0.0000  6 Pt 2.54-2.58, 1 Dy 2.75
Pt 0.0000 0.5000 0.5000  4 Ga 2.54
Pt 0.0633 0.7969 0.5000  2 Ga 2.58, 2 Zn 2.79
Pt 0.2031 0.0633 0.5000  2 Ga 2.58, 2 Zn 2.79
Pt 0.2969 0.5633 0.5000  2 Ga 2.58, 2 Zn 2.79
Pt 0.4367 0.2969 0.5000  2 Ga 2.58, 2 Zn 2.79
Pt 0.5000 0.0000 0.5000  4 Ga 2.54
Pt 0.5633 0.7031 0.5000  2 Ga 2.58, 2 Zn 2.79
Pt 0.7031 0.4367 0.5000  2 Ga 2.58, 2 Zn 2.79
Pt 0.7969 0.9367 0.5000  2 Ga 2.58, 2 Zn 2.79
Pt 0.9367 0.2031 0.5000  2 Ga 2.58, 2 Zn 2.79

SG = No. 127
crystal system = tetragonal
calculated volume = 354.49 Å³ per cell

10.
DFT (PBE) results for an optimized crystal structure of DyZnGaPt3.

Cell lengths 6.8565, 6.8565, 5.6365 Å; angles 90.00, 90.00, 121.45 degrees
Closest atoms and distances in Å follow each position.
Element x y z (fractional)
Dy 0.1930 0.8070 0.7500  2 Ga 2.90, 1 Zn 2.91, 4 Pt 3.05
Dy 0.8070 0.1930 0.2500  2 Ga 2.90, 1 Zn 2.91, 4 Pt 3.05
Zn 0.4363 0.5637 0.7500  5 Pt 2.52-2.70
Zn 0.5637 0.4363 0.2500  5 Pt 2.52-2.70
Ga 0.1357 0.8643 0.2500  5 Pt 2.42-2.57
Ga 0.8643 0.1357 0.7500  5 Pt 2.42-2.57
Pt 0.2094 0.2094 0.0000  2 Zn 2.52, 2 Ga 2.57, 3 Pt 2.81-2.82
Pt 0.2094 0.2094 0.5000  2 Zn 2.52, 2 Ga 2.57, 3 Pt 2.81-2.82
Pt 0.3378 0.6622 0.2500  1 Ga 2.42, 1 Zn 2.70
Pt 0.6622 0.3378 0.7500  1 Ga 2.42, 1 Zn 2.70
Pt 0.7906 0.7906 0.0000  2 Zn 2.52, 2 Ga 2.57, 3 Pt 2.81-2.82
Pt 0.7906 0.7906 0.5000  2 Zn 2.52, 2 Ga 2.57, 3 Pt 2.81-2.82

SG = No. 63
crystal system = orthorhombic
calculated volume = 226.05 Å³ per cell

no.,total magnetic moment (Bohr magnetons per cell),energy relative to the elements (meV per atom)
1,0.000,-296.3
2,0.000,-863.1
3,0.000,-887.3
4,0.000,-952.5
5,0.000,-985.1
6,0.000,-970.2
7,0.000,-846.0
8,0.000,-920.2
9,0.000,-836.9
10,0.000,-643.9